Entry 1:
This record from OQMD via LeMat-Bulk describes TbTmSi2Ir after structural relaxation. The functional is GGA-PBE.

## Properties
total moment = 0.01 Bohr magnetons per cell
ρ = 9738 kg/m3
electronic total energy = -6.7322 eV/atom
crystal system = monoclinic

a b c (Å): 5.5919 5.5919 10.0868
angles (deg): 115.24 115.24 44.60
Closest atoms and distances in Å follow each position.
Fractional coordinates of all 10 atoms:
Si  0.5117  0.5117  0.3828  1 Si 2.48, 1 Ir 2.50
Si  0.4883  0.4883  0.6172  1 Si 2.48, 1 Ir 2.50
Si  0.3561  0.3561  0.9455  3 Ir 2.45-2.64, 1 Si 2.66
Si  0.6439  0.6439  0.0545  3 Ir 2.45-2.64, 1 Si 2.66
Tb  0.8084  0.8084  0.3866  6 Si 2.98-3.06, 2 Ir 3.05
Tb  0.1916  0.1916  0.6134  6 Si 2.98-3.06, 2 Ir 3.05
Tm  0.0067  0.0067  0.8284  4 Ir 2.95-3.16, 7 Si 2.95-3.25
Tm  0.9933  0.9933  0.1716  4 Ir 2.95-3.16, 7 Si 2.95-3.25
Ir  0.2698  0.2698  0.1540  4 Si 2.45-2.64
Ir  0.7302  0.7302  0.8460  4 Si 2.45-2.64

Entry 2:
This record from OQMD via LeMat-Bulk describes TbYSi2Ir after structural relaxation. The functional is GGA-PBE.

## Properties
total moment = 0.01 Bohr magnetons per cell
ρ = 8222 kg/m3
electronic total energy = -7.1220 eV/atom
crystal system = monoclinic

a b c (Å): 5.6495 5.6495 10.1589
angles (deg): 115.40 115.40 44.22
Closest atoms and distances in Å follow each position.
Fractional coordinates of all 10 atoms:
Tb  0.8093  0.8093  0.8867  6 Si 2.99-3.11, 2 Ir 3.05
Tb  0.1907  0.1907  0.1133  6 Si 2.99-3.11, 2 Ir 3.05
Si  0.5112  0.5112  0.8840  1 Si 2.47, 1 Ir 2.51
Si  0.3527  0.3527  0.4451  3 Ir 2.45-2.65
Si  0.6473  0.6473  0.5549  3 Ir 2.45-2.65
Si  0.4888  0.4888  0.1160  1 Si 2.47, 1 Ir 2.51
Y  0.0049  0.0049  0.3272  7 Si 2.97-3.26, 4 Ir 2.97-3.21
Y  0.9951  0.9951  0.6728  7 Si 2.97-3.26, 4 Ir 2.97-3.21
Ir  0.7290  0.7290  0.3439  4 Si 2.45-2.65
Ir  0.2710  0.2710  0.6561  4 Si 2.45-2.65

Entry 3:
This record from OQMD via LeMat-Bulk describes TbYSi2Ir4 after structural relaxation. The functional is GGA-PBE.

## Properties
total moment = 0.01 Bohr magnetons per cell
ρ = 13044 kg/m3
electronic total energy = -7.9847 eV/atom
crystal system = orthorhombic

a b c (Å): 7.0336 5.4258 5.4258
angles (deg): 41.27 90.00 90.00
Closest atoms and distances in Å follow each position.
Fractional coordinates of all 8 atoms:
Tb  0.0000  0.4424  0.4424  3 Si 2.85-2.94, 8 Ir 2.98-3.15
Ir  0.2005  0.1467  0.1467  3 Si 2.49-2.50
Ir  0.7995  0.1467  0.1467  3 Si 2.49-2.50
Ir  0.2995  0.8536  0.8536  3 Si 2.49-2.50
Ir  0.7005  0.8536  0.8536  3 Si 2.49-2.50
Y  0.5000  0.5574  0.5574  3 Si 2.85-2.94, 8 Ir 2.99-3.15
Si  0.5000  0.2771  0.2771  6 Ir 2.49-2.50
Si  0.0000  0.7226  0.7226  6 Ir 2.49-2.50